This record from Alexandria via LeMat-Bulk describes a relaxed structure of TaTiH3. The functional is PBE.

Output
The density of states at the Fermi level is 0.450 states/eV per atom. The value obtained for the energy above the most stable polymorph in this dataset is 131 kJ/mol of formula units. The value obtained for the size of the total moment is 0.0000 μB per atom. The calculation puts the total energy at -29.62 eV/cell.

The structure in POSCAR format:
```
TaTiH3
1.0
3.5556 0.0000 0.0000
0.0000 3.5556 0.0000
0.0000 0.0000 3.5556
Ta Ti H
1 1 3
Cartesian
0.0000 0.0000 0.0000 Ta
1.7778 1.7778 1.7778 Ti
0.0000 0.0000 1.7778 H
0.0000 1.7778 0.0000 H
1.7778 0.0000 0.0000 H
```

---

This record from Alexandria via LeMat-Bulk describes a relaxed structure of TaTiH3. The functional is PBE.

Output
The density of states at the Fermi level is 0.397 states/eV per atom. The value obtained for the energy above the most stable polymorph in this dataset is 12 kJ/mol of formula units. The value obtained for the size of the total moment is 0.0000 μB per atom. The calculation puts the total energy at -123.40 eV/cell.

The structure in POSCAR format:
```
TaTiH3
1.0
2.8685 0.0000 0.0000
0.0000 12.1759 0.0000
0.0000 0.0000 4.8632
Ta Ti H
4 4 12
Cartesian
0.6804 2.2751 1.2158 Ta
0.6804 3.8129 3.6474 Ta
2.1880 8.3630 1.2158 Ta
2.1880 9.9008 3.6474 Ta
0.7223 6.9651 3.6474 Ti
0.7223 11.2987 1.2158 Ti
2.1462 0.8772 3.6474 Ti
2.1462 5.2108 1.2158 Ti
0.7114 0.7145 0.0698 H
0.7114 0.7145 2.3618 H
0.7114 5.3734 2.5015 H
0.7114 5.3734 4.7934 H
0.7468 9.1319 0.0000 H
0.7468 9.1319 2.4316 H
2.1217 3.0440 0.0000 H
2.1217 3.0440 2.4316 H
2.1571 6.8024 0.0698 H
2.1571 6.8024 2.3618 H
2.1571 11.4614 2.5015 H
2.1571 11.4614 4.7934 H
```

---

This record from Alexandria via LeMat-Bulk describes a relaxed structure of TaTiH3. The functional is PBE.

Output
The density of states at the Fermi level is 0.276 states/eV per atom. The value obtained for the energy above the most stable polymorph in this dataset is 0 kJ/mol of formula units. The value obtained for the size of the total moment is 0.0000 μB per atom. The calculation puts the total energy at -61.96 eV/cell.

The structure in POSCAR format:
```
TaTiH3
1.0
2.4632 1.4222 3.9635
-2.4632 1.4222 3.9635
0.0000 -2.8443 3.9635
Ta Ti H
2 2 6
Cartesian
0.0000 0.0000 1.4957 Ta
0.0000 0.0000 10.3947 Ta
0.0000 0.0000 4.4585 Ti
0.0000 0.0000 7.4319 Ti
-1.2053 -1.4055 4.9378 H
-0.6146 -1.7466 6.9526 H
-0.6146 1.7466 4.9378 H
-1.2053 1.4055 6.9526 H
1.8199 -0.3411 4.9378 H
1.8199 0.3411 6.9526 H
```

---

> What is the size of the total moment in the second record?

0.0000 μB per atom

---

What did the third record say?
This record from Alexandria via LeMat-Bulk describes a relaxed structure of TaTiH3. The functional is PBE.

Output
The density of states at the Fermi level is 0.276 states/eV per atom. The value obtained for the energy above the most stable polymorph in this dataset is 0 kJ/mol of formula units. The value obtained for the size of the total moment is 0.0000 μB per atom. The calculation puts the total energy at -61.96 eV/cell.

The structure in POSCAR format:
```
TaTiH3
1.0
2.4632 1.4222 3.9635
-2.4632 1.4222 3.9635
0.0000 -2.8443 3.9635
Ta Ti H
2 2 6
Cartesian
0.0000 0.0000 1.4957 Ta
0.0000 0.0000 10.3947 Ta
0.0000 0.0000 4.4585 Ti
0.0000 0.0000 7.4319 Ti
-1.2053 -1.4055 4.9378 H
-0.6146 -1.7466 6.9526 H
-0.6146 1.7466 4.9378 H
-1.2053 1.4055 6.9526 H
1.8199 -0.3411 4.9378 H
1.8199 0.3411 6.9526 H
```